<one>
Computed, not measured: Ag2Pt3 after structural relaxation at the PBE level of DFT.

a b c (Å): 4.9320 4.9448 7.5022
angles (deg): 71.05 71.38 80.51
Positions (direct):
Ag 0.0000 0.0000 0.0000
Ag 0.0015 0.8025 0.3969
Ag 0.0065 0.6008 0.7970
Ag 0.5043 0.5144 0.4976
Pt 0.0014 0.1969 0.5971
Pt 0.0042 0.3993 0.1996
Pt 0.4940 0.1203 0.2984
Pt 0.5003 0.9186 0.6984
Pt 0.5052 0.6998 0.0924
Pt 0.5062 0.3013 0.9021

=====

<two>
Computed, not measured: Ag2Pt3 after structural relaxation at the PBE level of DFT.

a b c (Å): 7.4338 5.4524 8.5553
angles (deg): 59.28 39.09 81.63
Positions (direct):
Ag 0.0485 0.4515 0.0498
Ag 0.2002 0.7998 0.2015
Ag 0.4515 0.0485 0.4502
Ag 0.7998 0.2002 0.7985
Pt 0.0014 0.0014 0.9986
Pt 0.2514 0.2514 0.2486
Pt 0.4058 0.5961 0.4017
Pt 0.5961 0.4058 0.5964
Pt 0.6536 0.8483 0.6539
Pt 0.8483 0.6536 0.8442

=====

The least stable of them is <two>.

=====

<one>
Computed, not measured: Ag2Pt3 after structural relaxation at the PBE level of DFT.

a b c (Å): 7.6253 7.6253 7.6253
angles (deg): 158.76 149.28 37.65
Positions (direct):
Ag 0.1994 0.1994 0.0000
Ag 0.8006 0.8006 0.0000
Pt 0.0000 0.0000 0.0000
Pt 0.4050 0.4050 0.0000
Pt 0.5950 0.5950 0.0000

=====

<two>
Computed, not measured: Ag2Pt3 after structural relaxation at the PBE level of DFT.

a b c (Å): 4.8704 4.9531 7.5632
angles (deg): 108.32 101.37 100.62
Positions (direct):
Ag 0.1514 0.3002 0.0494
Ag 0.2462 0.4989 0.7525
Ag 0.7538 0.5011 0.2475
Ag 0.8486 0.6998 0.9506
Pt 0.0610 0.1044 0.3549
Pt 0.3539 0.7073 0.4533
Pt 0.4605 0.9156 0.1585
Pt 0.5395 0.0844 0.8415
Pt 0.6461 0.2927 0.5467
Pt 0.9390 0.8956 0.6451

=====

The least stable of them is <two>.

=====

<one>
Computed, not measured: Ag3Pt2 after structural relaxation at the PBE level of DFT.

a b c (Å): 12.0397 12.0397 12.0397
angles (deg): 13.55 13.55 13.55
Positions (direct):
Ag 0.0000 0.0000 0.0000
Ag 0.2008 0.2008 0.2008
Ag 0.7992 0.7992 0.7992
Pt 0.3997 0.3997 0.3997
Pt 0.6003 0.6003 0.6003

=====

<two>
Computed, not measured: Ag3Pt2 after structural relaxation at the PBE level of DFT.

a b c (Å): 9.8364 6.8846 11.8442
angles (deg): 56.11 35.52 88.36
Positions (direct):
Ag 0.0000 0.0000 0.0000
Ag 0.0002 0.4585 0.2213
Ag 0.0287 0.9301 0.2498
Ag 0.2500 0.2500 0.2500
Ag 0.4585 0.0002 0.3199
Ag 0.9301 0.0287 0.7915
Pt 0.3430 0.6375 0.7153
Pt 0.5347 0.9458 0.9070
Pt 0.6375 0.3430 0.3042
Pt 0.9458 0.5347 0.6125

=====

The least stable of them is <two>.

=====

<one>
Computed, not measured: Ag3Pt2 after structural relaxation at the PBE level of DFT.

a b c (Å): 4.9437 5.7462 6.4711
angles (deg): 102.64 97.57 106.45
Positions (direct):
Ag 0.1037 0.4539 0.1985
Ag 0.2940 0.3459 0.6019
Ag 0.2981 0.8522 0.6023
Ag 0.7019 0.1478 0.3977
Ag 0.7060 0.6541 0.3981
Ag 0.8963 0.5461 0.8015
Pt 0.1077 0.9507 0.1895
Pt 0.4896 0.2451 0.9979
Pt 0.5104 0.7549 0.0021
Pt 0.8923 0.0493 0.8105

=====

<two>
Computed, not measured: Ag3Pt2 after structural relaxation at the PBE level of DFT.

a b c (Å): 7.6429 7.6429 8.2407
angles (deg): 106.32 106.32 21.34
Positions (direct):
Ag 0.0000 0.0000 0.0000
Ag 0.0000 0.0000 0.5000
Ag 0.2017 0.2017 0.6080
Ag 0.3985 0.3985 0.7026
Ag 0.6015 0.6015 0.2974
Ag 0.7983 0.7983 0.3920
Pt 0.1981 0.1981 0.0882
Pt 0.3996 0.3996 0.1976
Pt 0.6004 0.6004 0.8024
Pt 0.8019 0.8019 0.9118

=====

<three>
Computed, not measured: Ag3Pt2 after structural relaxation at the PBE level of DFT.

a b c (Å): 7.0301 2.8244 8.8010
angles (deg): 90.00 105.87 90.00
Positions (direct):
Ag 0.0888 0.0000 0.2984
Ag 0.2988 0.0000 0.8969
Ag 0.3966 0.5000 0.2010
Ag 0.6034 0.5000 0.7990
Ag 0.7012 0.0000 0.1031
Ag 0.9112 0.0000 0.7016
Pt 0.0000 0.5000 0.0000
Pt 0.2099 0.5000 0.5898
Pt 0.5000 0.0000 0.5000
Pt 0.7901 0.5000 0.4102

=====

<four>
Computed, not measured: Ag3Pt2 after structural relaxation at the PBE level of DFT.

a b c (Å): 7.4563 5.5182 8.5968
angles (deg): 59.07 39.41 81.52
Positions (direct):
Ag 0.0000 0.0000 0.0000
Ag 0.2500 0.2500 0.2500
Ag 0.4217 0.5623 0.3800
Ag 0.5623 0.4217 0.6360
Ag 0.6140 0.8700 0.6877
Ag 0.8700 0.6140 0.8283
Pt 0.1605 0.7781 0.2509
Pt 0.4395 0.9991 0.4719
Pt 0.7781 0.1605 0.8105
Pt 0.9991 0.4395 0.0895

=====

The least stable of them is <four>.

=====

<one>
Computed, not measured: Ag3Pt2 after structural relaxation at the PBE level of DFT.

a b c (Å): 7.6634 7.6634 5.7615
angles (deg): 102.09 102.09 30.56
Positions (direct):
Ag 0.0000 0.0000 0.0000
Ag 0.0008 0.0008 0.5015
Ag 0.1984 0.1984 0.1006
Ag 0.3973 0.3973 0.6977
Ag 0.3992 0.3992 0.1924
Ag 0.7986 0.7986 0.3932
Pt 0.1966 0.1966 0.6034
Pt 0.6004 0.6004 0.8028
Pt 0.6012 0.6012 0.3092
Pt 0.7940 0.7940 0.8859

=====

<two>
Computed, not measured: Ag3Pt2 after structural relaxation at the PBE level of DFT.

a b c (Å): 6.4373 6.4373 4.0690
angles (deg): 90.00 90.00 90.00
Positions (direct):
Ag 0.0000 0.5000 0.0000
Ag 0.0973 0.7944 0.5000
Ag 0.2056 0.0973 0.0000
Ag 0.5000 0.0000 0.5000
Ag 0.7944 0.9027 0.0000
Ag 0.9027 0.2056 0.5000
Pt 0.3116 0.4034 0.5000
Pt 0.4034 0.6884 0.0000
Pt 0.5966 0.3116 0.0000
Pt 0.6884 0.5966 0.5000

=====

<three>
Computed, not measured: Ag3Pt2 after structural relaxation at the PBE level of DFT.

a b c (Å): 4.5066 4.5066 5.4551
angles (deg): 90.00 90.00 120.00
Positions (direct):
Ag 0.0000 0.0000 0.0000
Ag 0.3333 0.6667 0.3697
Ag 0.6667 0.3333 0.6303
Pt 0.3333 0.6667 0.8686
Pt 0.6667 0.3333 0.1314

=====

The least stable of them is <three>.

=====

<one>
Computed, not measured: Ag5Pt6 after structural relaxation at the PBE level of DFT.

a b c (Å): 7.6376 7.6376 8.6414
angles (deg): 93.60 93.60 21.14
Positions (direct):
Ag 0.0000 0.0000 0.0000
Ag 0.0857 0.0857 0.4482
Ag 0.3651 0.3651 0.8202
Ag 0.6349 0.6349 0.1798
Ag 0.9143 0.9143 0.5518
Pt 0.1876 0.1876 0.9007
Pt 0.2732 0.2732 0.3735
Pt 0.4464 0.4464 0.2649
Pt 0.5536 0.5536 0.7351
Pt 0.7268 0.7268 0.6265
Pt 0.8124 0.8124 0.0993

=====

<two>
Computed, not measured: Ag5Pt6 after structural relaxation at the PBE level of DFT.

a b c (Å): 4.9087 6.4077 6.4747
angles (deg): 107.28 105.40 98.73
Positions (direct):
Ag 0.0000 0.0000 0.0000
Ag 0.0980 0.8183 0.3696
Ag 0.3635 0.2739 0.4528
Ag 0.6365 0.7261 0.5472
Ag 0.9020 0.1817 0.6304
Pt 0.1820 0.6385 0.7334
Pt 0.2754 0.4608 0.0837
Pt 0.4535 0.0932 0.8287
Pt 0.5465 0.9068 0.1713
Pt 0.7246 0.5392 0.9163
Pt 0.8180 0.3615 0.2666

=====

<three>
Computed, not measured: Ag5Pt6 after structural relaxation at the PBE level of DFT.

a b c (Å): 4.9881 6.3737 6.3850
angles (deg): 108.02 97.51 105.03
Positions (direct):
Ag 0.0000 0.0000 0.0000
Ag 0.0880 0.3638 0.8211
Ag 0.2689 0.0951 0.4596
Ag 0.6371 0.5465 0.7298
Ag 0.9072 0.6350 0.1861
Pt 0.1845 0.7279 0.6400
Pt 0.3680 0.4605 0.2751
Pt 0.4587 0.8219 0.0976
Pt 0.5390 0.1689 0.9172
Pt 0.7123 0.9127 0.5416
Pt 0.8198 0.2769 0.3635

=====

<four>
Computed, not measured: Ag5Pt6 after structural relaxation at the PBE level of DFT.

a b c (Å): 7.6056 7.6056 6.3708
angles (deg): 103.08 103.08 30.41
Positions (direct):
Ag 0.0000 0.0000 0.0000
Ag 0.1807 0.1807 0.9164
Ag 0.4548 0.4548 0.2718
Ag 0.5432 0.5432 0.7276
Ag 0.7261 0.7261 0.6457
Pt 0.0897 0.0897 0.4516
Pt 0.2738 0.2738 0.3657
Pt 0.3618 0.3618 0.8175
Pt 0.6430 0.6430 0.2027
Pt 0.8184 0.8184 0.0922
Pt 0.9047 0.9047 0.5429

=====

The least stable of them is <three>.

=====

<one>
Computed, not measured: Ag5Pt after structural relaxation at the PBE level of DFT.

a b c (Å): 2.8838 2.8838 14.4815
angles (deg): 90.00 90.00 120.00
Positions (direct):
Ag 0.0000 0.0000 0.0000
Ag 0.0000 0.0000 0.3361
Ag 0.0000 0.0000 0.6639
Ag 0.3333 0.6667 0.1684
Ag 0.3333 0.6667 0.8316
Pt 0.3333 0.6667 0.5000

=====

<two>
Computed, not measured: Ag5Pt after structural relaxation at the PBE level of DFT.

a b c (Å): 5.3830 5.3830 5.3830
angles (deg): 60.00 60.00 60.00
Positions (direct):
Ag 0.0000 0.0000 0.0000
Ag 0.3751 0.3751 0.3751
Ag 0.3751 0.3751 0.8747
Ag 0.3751 0.8747 0.3751
Ag 0.8747 0.3751 0.3751
Pt 0.7500 0.7500 0.7500

=====

<three>
Computed, not measured: Ag5Pt after structural relaxation at the PBE level of DFT.

a b c (Å): 5.3020 5.3020 4.7930
angles (deg): 90.00 90.00 120.00
Positions (direct):
Ag 0.0000 0.5000 0.0000
Ag 0.3333 0.6667 0.5000
Ag 0.5000 0.0000 0.0000
Ag 0.5000 0.5000 0.0000
Ag 0.6667 0.3333 0.5000
Pt 0.0000 0.0000 0.5000

=====

The least stable of them is <three>.

=====

<one>
Computed, not measured: Ag5Pt after structural relaxation at the PBE level of DFT.

a b c (Å): 5.5536 5.5536 6.9939
angles (deg): 105.85 105.85 30.38
Positions (direct):
Ag 0.0000 0.0000 0.0000
Ag 0.0530 0.0530 0.6138
Ag 0.3286 0.3286 0.6717
Ag 0.3852 0.3852 0.2755
Ag 0.6648 0.6648 0.3328
Pt 0.7205 0.7205 0.9461

=====

<two>
Computed, not measured: Ag5Pt after structural relaxation at the PBE level of DFT.

a b c (Å): 6.4828 6.4828 4.0976
angles (deg): 90.00 90.00 142.73
Positions (direct):
Ag 0.0000 0.0000 0.0000
Ag 0.1654 0.8346 0.5000
Ag 0.3356 0.6644 0.0000
Ag 0.6644 0.3356 0.0000
Ag 0.8346 0.1654 0.5000
Pt 0.5000 0.5000 0.5000

=====

The least stable of them is <one>.

=====

<one>
Computed, not measured: Ag5Pt after structural relaxation at the PBE level of DFT.

a b c (Å): 5.0394 5.0394 4.7558
angles (deg): 90.00 90.00 120.00
Positions (direct):
Ag 0.0000 0.6732 0.0000
Ag 0.3268 0.3268 0.0000
Ag 0.3333 0.6667 0.5000
Ag 0.6667 0.3333 0.5000
Ag 0.6732 0.0000 0.0000
Pt 0.0000 0.0000 0.5000

=====

<two>
Computed, not measured: Ag5Pt after structural relaxation at the PBE level of DFT.

a b c (Å): 2.8872 2.8872 12.5132
angles (deg): 90.00 90.00 90.00
Positions (direct):
Ag 0.0000 0.0000 0.0000
Ag 0.0000 0.0000 0.3387
Ag 0.0000 0.0000 0.6613
Ag 0.5000 0.5000 0.1698
Ag 0.5000 0.5000 0.8302
Pt 0.5000 0.5000 0.5000

=====

The least stable of them is <one>.